No. 1
Here is HgBiPb4 after structural relaxation from Alexandria. Energies are from GGA-PBE.

Summary:
Energy relative to the elements in meV/atom: 17
Offset from the most stable computed form in eV per formula unit: 0.00

Lattice parameters (Å, degrees): 6.1072 5.9986 5.9547 74.97 61.39 82.56
With the nearest neighbours (Å) after each atom.
Atoms (fractional coordinates):
Pb 0.4196 0.5024 0.6692  3 Hg 3.45-3.58, 7 Pb 3.48-3.64, 2 Bi 3.48-3.49
Pb 0.0823 0.0032 0.8363  3 Bi 3.45-3.59, 7 Pb 3.47-3.64, 2 Hg 3.48-3.49
Pb 0.0830 0.5031 0.3344  3 Hg 3.45-3.58, 2 Bi 3.48-3.49, 7 Pb 3.48-3.64
Pb 0.4204 0.0023 0.1673  3 Bi 3.45-3.59, 7 Pb 3.47-3.64, 2 Hg 3.48-3.49
Hg 0.7512 0.5026 0.0020  10 Pb 3.45-3.58, 2 Bi 3.64
Bi 0.7513 0.0027 0.5019  10 Pb 3.45-3.59, 2 Hg 3.64

No. 2
Here is Hg8BiPb5 after structural relaxation from Alexandria. Energies are from GGA-PBE.

Summary:
Energy relative to the elements in meV/atom: 65

Lattice parameters (Å, degrees): 8.3009 8.3009 8.3009 103.66 103.66 121.86
With the nearest neighbours (Å) after each atom.
Atoms (fractional coordinates):
Hg 0.3588 0.2073 0.5848  5 Pb 3.14-3.44, 2 Hg 3.22, 1 Bi 3.25
Hg 0.0550 0.0332 0.7823  5 Hg 3.17-3.34, 3 Pb 3.19-3.52
Hg 0.2509 0.2727 0.2177  5 Hg 3.17-3.34, 3 Pb 3.19-3.52
Hg 0.2260 0.6412 0.8484  5 Pb 3.14-3.44, 2 Hg 3.22, 1 Bi 3.25
Hg 0.9668 0.7491 0.0218  5 Hg 3.17-3.34, 3 Pb 3.19-3.52
Hg 0.7273 0.9450 0.9782  5 Hg 3.17-3.34, 3 Pb 3.19-3.52
Hg 0.6225 0.7740 0.4152  5 Pb 3.14-3.44, 2 Hg 3.22, 1 Bi 3.25
Hg 0.7927 0.3775 0.1516  5 Pb 3.14-3.44, 2 Hg 3.22, 1 Bi 3.25
Bi 0.2500 0.7500 0.5000  4 Hg 3.25, 4 Pb 3.42
Pb 0.7873 0.5396 0.5403  5 Hg 3.14-3.44, 1 Bi 3.42, 2 Pb 3.49
Pb 0.9993 0.2471 0.4597  5 Hg 3.14-3.44, 1 Bi 3.42, 2 Pb 3.49
Pb 0.7529 0.2127 0.7522  5 Hg 3.14-3.44, 1 Bi 3.42, 2 Pb 3.49
Pb 0.5000 0.5000 0.0000  8 Hg 3.21-3.22
Pb 0.4604 0.0007 0.2478  5 Hg 3.14-3.44, 1 Bi 3.42, 2 Pb 3.49

No. 3
Here is Hg6BiPb12 after structural relaxation from Alexandria. Energies are from GGA-PBE.

Summary:
Energy relative to the elements in meV/atom: 61

Lattice parameters (Å, degrees): 8.5628 8.5628 8.5628 101.38 101.38 101.38
With the nearest neighbours (Å) after each atom.
Atoms (fractional coordinates):
Hg 0.7234 0.2577 0.4753  2 Hg 3.11, 6 Pb 3.25-3.46
Hg 0.2766 0.7423 0.5247  2 Hg 3.11, 6 Pb 3.25-3.46
Hg 0.2577 0.4753 0.7234  2 Hg 3.11, 6 Pb 3.25-3.46
Hg 0.7423 0.5247 0.2766  2 Hg 3.11, 6 Pb 3.25-3.46
Hg 0.4753 0.7234 0.2577  2 Hg 3.11, 6 Pb 3.25-3.46
Hg 0.5247 0.2766 0.7423  2 Hg 3.11, 6 Pb 3.25-3.46
Pb 0.1450 0.0734 0.6719  3 Hg 3.25-3.36, 6 Pb 3.29-3.63, 1 Bi 3.41
Pb 0.8550 0.9266 0.3281  3 Hg 3.25-3.36, 6 Pb 3.29-3.63, 1 Bi 3.41
Pb 0.9266 0.3281 0.8550  3 Hg 3.25-3.36, 6 Pb 3.29-3.63, 1 Bi 3.41
Pb 0.0762 0.3370 0.3342  4 Hg 3.26-3.55, 5 Pb 3.44-3.63, 1 Bi 3.49
Pb 0.6630 0.6658 0.9238  4 Hg 3.26-3.55, 5 Pb 3.44-3.63, 1 Bi 3.49
Pb 0.3370 0.3342 0.0762  4 Hg 3.26-3.55, 5 Pb 3.44-3.63, 1 Bi 3.49
Pb 0.0734 0.6719 0.1450  3 Hg 3.25-3.36, 6 Pb 3.29-3.63, 1 Bi 3.41
Pb 0.6719 0.1450 0.0734  3 Hg 3.25-3.36, 6 Pb 3.29-3.63, 1 Bi 3.41
Pb 0.3281 0.8550 0.9266  3 Hg 3.25-3.36, 6 Pb 3.29-3.63, 1 Bi 3.41
Pb 0.3342 0.0762 0.3370  4 Hg 3.26-3.55, 5 Pb 3.44-3.63, 1 Bi 3.49
Pb 0.9238 0.6630 0.6658  4 Hg 3.26-3.55, 5 Pb 3.44-3.63, 1 Bi 3.49
Pb 0.6658 0.9238 0.6630  4 Hg 3.26-3.55, 5 Pb 3.44-3.63, 1 Bi 3.49
Bi 0.0000 0.0000 0.0000  12 Pb 3.41-3.49